<1>
The following is a PBE-GGA calculation of a relaxed structure of Gd2HoSn, from Alexandria via LeMat-Bulk.

a b c (Å): 12.1716 12.1716 12.1716
angles (deg): 16.61 16.61 16.61
Last column: nearest neighbours and their distance in Å.
Sites, in units of the cell vectors:
Gd: 0.0874 0.0874 0.0874  1 Sn 3.15, 3 Ho 3.50, 6 Gd 3.52
Gd: 0.9126 0.9126 0.9126  1 Sn 3.15, 3 Ho 3.50, 6 Gd 3.52
Ho: 0.5000 0.5000 0.5000  6 Gd 3.50, 6 Ho 3.52
Sn: 0.0000 0.0000 0.0000  2 Gd 3.15, 6 Sn 3.52

- space-group type = R-3m, No. 166
- V (Å³ per cell) = 128.45

---

<2>
The following is a PBE-GGA calculation of a relaxed structure of Gd2HoSn, from Alexandria via LeMat-Bulk.

a b c (Å): 4.8145 4.8145 4.8788
angles (deg): 90.00 90.00 90.00
Last column: nearest neighbours and their distance in Å.
Sites, in units of the cell vectors:
Gd: 0.0000 0.5000 0.0000  4 Gd 3.40, 4 Sn 3.43, 4 Ho 3.43
Gd: 0.5000 0.0000 0.0000  4 Gd 3.40, 4 Sn 3.43, 4 Ho 3.43
Ho: 0.0000 0.0000 0.5000  4 Sn 3.40, 8 Gd 3.43
Sn: 0.5000 0.5000 0.5000  4 Ho 3.40, 8 Gd 3.43

- space-group type = P4/mmm, No. 123
- V (Å³ per cell) = 113.09

---

In order of decreasing stability: <2>, <1>.